Compound: Li3Sm2ScSe6
Source: Alexandria
Functional: PBE-GGA
Structure: optimized geometry

- Space-group type: C2/m
- DOS(E_F): 0.000 states/eV per atom
- E: -5.18 eV per atom
- Uncorrected formation energy: -19.69 eV/f.u.

The structure in extended XYZ format:
```
12
Lattice="3.521 -6.102 0.000 3.521 6.102 0.000 -2.342 0.000 6.483" Properties=species:S:1:pos:R:3 pbc="T T T"
Li 0.000 0.000 0.000
Li 3.521 1.986 0.000
Li 3.521 -1.986 0.000
Sm 2.350 4.064 3.242
Sm 2.350 -4.064 3.242
Sc 2.350 0.000 3.242
Se 1.236 1.930 1.599
Se 0.125 0.000 4.860
Se 1.236 -1.930 1.599
Se 3.464 1.930 4.884
Se 4.576 0.000 1.623
Se 3.464 -1.930 4.884
```